VASP calculation (SCAN) on a PBEsol-optimized structure of TeAs2.

The structure in CIF format:
```
data_TeAs2
_symmetry_space_group_name_H-M 'P 6/m m m'
_symmetry_Int_Tables_number 191
_symmetry_space_group_name_Hall '-P 6 2'
_cell_length_a 4.6345
_cell_length_b 4.6345
_cell_length_c 3.5211
_cell_angle_alpha 90.00
_cell_angle_beta 90.00
_cell_angle_gamma 120.00
loop_
_atom_site_label
_atom_site_type_symbol
_atom_site_fract_x
_atom_site_fract_y
_atom_site_fract_z
Te1 Te 0.0000 0.0000 0.0000
As1 As 0.3333 0.6667 0.5000
```

Summary:
Its magnetization is 0.00 μB/cell. The calculation puts the mass density at 7.03 g cm⁻³. Its formation energy without anion corrections is 0.4421 eV/atom.